Sr2GeSb | PBE | optimized geometry

Cell: 5.617 5.617 5.617 Å, 60.00 60.00 60.00°
Element x y z (fractional)
Sr 0.750 0.750 0.750
Sb 0.500 0.500 0.500
Sr 0.250 0.250 0.250
Ge 0.000 0.000 0.000

Results
Offset from the most stable computed form in kJ per mole of atoms: 4.6
SG: Fm-3m
Calculated total energy in eV per formula unit: -14.41
Density in g/cm³: 4.9
Formation energy (no corrections) in meV per atom: -578